1.
## Dy2ErGe4Pd4 (PBE-GGA)

Data for an optimized crystal structure of Dy2ErGe4Pd4.

Computed properties:
Calculated total energy = -5.714 eV per atom
Calculated volume = 207.44 Å³/f.u.
Theoretical density = 9.67 g/cm3

```
Dy2ErGe4Pd4
1.0
-2.0897 3.5484 6.9937
2.0897 -3.5484 6.9937
2.0897 3.5484 -6.9937
Dy Pd Ge Er
2 4 4 1
Direct
0.6260 0.1260 0.5000
0.3740 0.8740 0.5000
0.9741 0.6750 0.2992
0.3758 0.6750 0.7008
0.6242 0.3250 0.2992
0.0259 0.3250 0.7008
0.7822 0.7822 0.0000
0.2178 0.2178 0.0000
0.3115 0.5000 0.8115
0.6885 0.5000 0.1885
0.0000 0.0000 0.0000
```

***

2.
## DyEr2Ge3PdPt2 (PBE-GGA)

Data for an optimized crystal structure of DyEr2Ge3PdPt2.

Computed properties:
Calculated total energy = -6.013 eV per atom
Calculated volume = 175.32 Å³/f.u.
Theoretical density = 11.48 g/cm3

```
DyEr2Ge3PdPt2
1.0
-1.7849 0.9276 3.3310
5.2464 -3.2747 3.7232
0.5547 7.0049 -1.6535
Pt Ge Er Dy Pd
2 3 2 1 1
Direct
0.5000 0.6672 0.3317
0.5000 0.3317 0.6672
0.5000 0.7440 0.0007
0.5000 0.2557 0.2557
0.5000 0.0007 0.7440
0.0000 0.9999 0.4055
0.0000 0.4055 0.9999
0.0000 0.5939 0.5939
0.0000 0.0014 0.0014
```

***

3.
## DyErGe2Pt4 (PBE-GGA)

Data for an optimized crystal structure of DyErGe2Pt4.

Computed properties:
Calculated total energy = -6.312 eV per atom
Calculated volume = 150.49 Å³/f.u.
Theoretical density = 13.85 g/cm3

```
DyErGe2Pt4
1.0
4.3731 0.0000 0.0000
-2.1865 3.7872 0.0000
0.0000 0.0000 9.0867
Ge Pt Dy Er
2 4 1 1
Direct
0.3333 0.6667 0.2508
0.3333 0.6667 0.7492
0.6667 0.3333 0.8336
0.0000 0.0000 0.6638
0.6667 0.3333 0.1664
0.0000 0.0000 0.3362
0.0000 0.0000 0.0000
0.6667 0.3333 0.5000
```

***

Q: Which value of theoretical density does entry 3 give?
A: 13.85 g/cm3